# 1
Entry from the Alexandria database: crystalline YbGe2Pd at its relaxed geometry (PBE-GGA).

```
data_YbGe2Pd
_chemical_formula_sum 'Yb8 Ge16 Pd8'
_cell_length_a 4.413
_cell_length_b 8.945
_cell_length_c 16.124
_cell_angle_alpha 90.00
_cell_angle_beta 90.00
_cell_angle_gamma 90.00
_symmetry_space_group_name_H-M 'I m m m'
_symmetry_Int_Tables_number 71
_symmetry_space_group_name_Hall '-I 2 2'
loop_
_atom_site_label
_atom_site_type_symbol
_atom_site_fract_x
_atom_site_fract_y
_atom_site_fract_z
_atom_site_occupancy
Yb1 Yb 0.000 0.000 0.203 1
Yb2 Yb 0.000 0.237 0.000 1
Ge1 Ge 0.000 0.000 0.422 1
Ge2 Ge 0.000 0.352 0.194 1
Ge3 Ge 0.000 0.500 0.424 1
Pd1 Pd 0.000 0.251 0.352 1
```

Properties
DOS(E_F)	118.14	states/eV per cell
ΔH_f (0 K)	-0.68	eV per atom
density	8.9	g/cm³
magnetization	0.01	μB/f.u.

# 2
Entry from the Alexandria database: crystalline Zn2GePd4 at its relaxed geometry (PBE-GGA).

```
data_Zn2GePd4
_chemical_formula_sum 'Zn4 Ge2 Pd8'
_cell_length_a 6.542
_cell_length_b 5.560
_cell_length_c 6.632
_cell_angle_alpha 90.00
_cell_angle_beta 114.58
_cell_angle_gamma 90.00
_symmetry_space_group_name_H-M 'P 1 21/m 1'
_symmetry_Int_Tables_number 11
_symmetry_space_group_name_Hall '-P 2yb'
loop_
_atom_site_label
_atom_site_type_symbol
_atom_site_fract_x
_atom_site_fract_y
_atom_site_fract_z
_atom_site_occupancy
Zn1 Zn 0.054 0.250 0.284 1
Zn2 Zn 0.345 0.750 0.754 1
Ge1 Ge 0.365 0.250 0.816 1
Pd1 Pd 0.046 0.750 0.348 1
Pd2 Pd 0.253 0.503 0.073 1
Pd3 Pd 0.474 0.250 0.512 1
```

Properties
DOS(E_F)	6.44	states/eV per cell
excess energy over the best structure of this formula in the dataset	92.7	meV per atom
ΔH_f (0 K)	-0.32	eV per atom
density	9.5	g/cm³
magnetization	0.00	μB/f.u.

# 3
Entry from the Alexandria database: crystalline Zn8GePd4 at its relaxed geometry (PBE-GGA).

```
data_Zn8GePd4
_chemical_formula_sum 'Zn8 Ge1 Pd4'
_cell_length_a 3.168
_cell_length_b 4.169
_cell_length_c 15.625
_cell_angle_alpha 90.00
_cell_angle_beta 90.00
_cell_angle_gamma 90.00
_symmetry_space_group_name_H-M 'P m m 2'
_symmetry_Int_Tables_number 25
_symmetry_space_group_name_Hall 'P 2 -2'
loop_
_atom_site_label
_atom_site_type_symbol
_atom_site_fract_x
_atom_site_fract_y
_atom_site_fract_z
_atom_site_occupancy
Zn1 Zn 0.000 0.000 0.000 1
Zn2 Zn 0.000 0.000 0.272 1
Zn3 Zn 0.000 0.500 0.158 1
Zn4 Zn 0.000 0.500 0.604 1
Zn5 Zn 0.500 0.000 0.581 1
Zn6 Zn 0.500 0.000 0.858 1
Zn7 Zn 0.500 0.500 0.016 1
Zn8 Zn 0.500 0.500 0.741 1
Ge1 Ge 0.000 0.000 0.428 1
Pd1 Pd 0.000 0.000 0.720 1
Pd2 Pd 0.000 0.500 0.879 1
Pd3 Pd 0.500 0.000 0.139 1
Pd4 Pd 0.500 0.500 0.467 1
```

Properties
DOS(E_F)	3.76	states/eV per cell
ΔH_f (0 K)	-0.30	eV per atom
density	8.2	g/cm³
magnetization	0.00	μB/f.u.

# 4
Entry from the Alexandria database: crystalline Zn2GePd8 at its relaxed geometry (PBE-GGA).

```
data_Zn2GePd8
_chemical_formula_sum 'Zn4 Ge2 Pd16'
_cell_length_a 13.890
_cell_length_b 4.168
_cell_length_c 5.909
_cell_angle_alpha 90.00
_cell_angle_beta 103.83
_cell_angle_gamma 90.00
_symmetry_space_group_name_H-M 'C 1 2/m 1'
_symmetry_Int_Tables_number 12
_symmetry_space_group_name_Hall '-C 2y'
loop_
_atom_site_label
_atom_site_type_symbol
_atom_site_fract_x
_atom_site_fract_y
_atom_site_fract_z
_atom_site_occupancy
Zn1 Zn 0.215 0.000 0.160 1
Ge1 Ge 0.000 0.500 0.500 1
Pd1 Pd 0.036 0.000 0.251 1
Pd2 Pd 0.096 0.500 0.952 1
Pd3 Pd 0.159 0.000 0.719 1
Pd4 Pd 0.171 0.500 0.426 1
```

Properties
DOS(E_F)	10.55	states/eV per cell
excess energy over the best structure of this formula in the dataset	0.0	meV per atom
ΔH_f (0 K)	-0.37	eV per atom
density	10.5	g/cm³
magnetization	0.00	μB/f.u.

# 5
Entry from the Alexandria database: crystalline Zn2GePd2 at its relaxed geometry (PBE-GGA).

```
data_Zn2GePd2
_chemical_formula_sum 'Zn4 Ge2 Pd4'
_cell_length_a 6.837
_cell_length_b 6.837
_cell_length_c 3.404
_cell_angle_alpha 90.00
_cell_angle_beta 90.00
_cell_angle_gamma 90.00
_symmetry_space_group_name_H-M 'P 4/m b m'
_symmetry_Int_Tables_number 127
_symmetry_space_group_name_Hall '-P 4 2ab'
loop_
_atom_site_label
_atom_site_type_symbol
_atom_site_fract_x
_atom_site_fract_y
_atom_site_fract_z
_atom_site_occupancy
Zn1 Zn 0.141 0.359 0.000 1
Ge1 Ge 0.000 0.000 0.500 1
Pd1 Pd 0.157 0.657 0.500 1
```

Properties
DOS(E_F)	3.58	states/eV per cell
excess energy over the best structure of this formula in the dataset	0.0	meV per atom
ΔH_f (0 K)	-0.32	eV per atom
density	8.7	g/cm³
magnetization	0.00	μB/f.u.

# 6
Entry from the Alexandria database: crystalline Zn3GePd4 at its relaxed geometry (PBE-GGA).

```
data_Zn3GePd4
_chemical_formula_sum 'Zn12 Ge4 Pd16'
_cell_length_a 5.917
_cell_length_b 6.098
_cell_length_c 13.020
_cell_angle_alpha 90.00
_cell_angle_beta 90.00
_cell_angle_gamma 90.00
_symmetry_space_group_name_H-M 'F m m m'
_symmetry_Int_Tables_number 69
_symmetry_space_group_name_Hall '-F 2 2'
loop_
_atom_site_label
_atom_site_type_symbol
_atom_site_fract_x
_atom_site_fract_y
_atom_site_fract_z
_atom_site_occupancy
Zn1 Zn 0.000 0.000 0.000 1
Zn2 Zn 0.000 0.000 0.248 1
Ge1 Ge 0.000 0.000 0.500 1
Pd1 Pd 0.250 0.250 0.122 1
```

Properties
DOS(E_F)	12.48	states/eV per cell
ΔH_f (0 K)	-0.48	eV per atom
density	9.8	g/cm³
magnetization	0.00	μB/f.u.